Entry w
{"formula": "TlZnRh", "functional": "GGA-PBEsol", "state": "relaxed", "crystal_system": "cubic", "sg": "F-43m", "dos_ef_per_ev_cell": 1.93, "cell": [[-1.0959, -3.4927, -2.3406], [2.4229, -1.1785, -3.4087], [2.4272, -3.5983, 0.2001]], "species": ["Rh", "Tl", "Zn"], "frac_coords": [[0.5000, 0.5000, 0.5000], [0.2500, 0.2500, 0.2500], [0.0000, 0.0000, 0.0000]]}

Entry x
{"formula": "TlZnRh", "functional": "GGA-PBEsol", "state": "relaxed", "crystal_system": "trigonal", "sg": "P3m1", "dos_ef_per_ev_cell": 2.43, "cell": [[3.0495, 0.0000, 0.0000], [-1.5247, 2.6409, 0.0000], [0.0000, 0.0000, 6.4989]], "species": ["Rh", "Tl", "Zn"], "frac_coords": [[0.0000, 0.0000, 0.0201], [0.3333, 0.6667, 0.6802], [0.6667, 0.3333, 0.2997]]}

Stability, highest: entry x

Entry w
{"formula": "Rh5W", "functional": "GGA-PBEsol", "state": "relaxed", "crystal_system": "monoclinic", "sg": "Cm", "dos_ef_per_ev_cell": 6.29, "cell": [[-1.2692, -1.2472, -2.0525], [2.9542, -3.6014, 2.1591], [-5.3583, -0.1786, 3.4218]], "species": ["Rh", "Rh", "Rh", "Rh", "Rh", "W"], "frac_coords": [[0.0018, 0.0037, 0.9998], [0.3858, 0.7716, 0.2707], [0.6682, 0.3365, 0.3336], [0.0575, 0.1151, 0.6143], [0.3314, 0.6629, 0.6690], [0.7218, 0.4437, 0.9459]]}

Entry x
{"formula": "Rh5W", "functional": "GGA-PBEsol", "state": "relaxed", "crystal_system": "orthorhombic", "sg": "Amm2", "dos_ef_per_ev_cell": 5.88, "cell": [[-2.6257, 0.0609, -0.7077], [-1.1207, -0.8841, 4.0817], [1.0874, 6.8475, 1.7818]], "species": ["Rh", "Rh", "Rh", "Rh", "Rh", "W"], "frac_coords": [[0.0009, 0.0000, 0.0018], [0.6662, 0.0000, 0.3323], [0.3329, 0.0000, 0.6658], [0.5532, 0.5000, 0.1065], [0.2229, 0.5000, 0.4459], [0.8905, 0.5000, 0.7810]]}

Stability, highest: entry x

Entry w
{"formula": "YRh2W", "functional": "GGA-PBEsol", "state": "relaxed", "crystal_system": "tetragonal", "sg": "P4/mmm", "dos_ef_per_ev_cell": 2.66, "cell": [[-2.3471, -1.4810, -1.0148], [1.4268, -0.5250, -2.5340], [2.8092, -6.4518, 2.9185]], "species": ["Rh", "Rh", "W", "Y"], "frac_coords": [[0.0000, 0.0000, 0.7823], [0.0000, 0.0000, 0.2177], [0.5000, 0.5000, 0.0000], [0.5000, 0.5000, 0.5000]]}

Entry x
{"formula": "YRh2W", "functional": "GGA-PBEsol", "state": "relaxed", "crystal_system": "tetragonal", "sg": "P4mm", "dos_ef_per_ev_cell": 3.81, "cell": [[-2.3245, -2.2089, -0.7192], [0.7169, -1.6499, 2.7503], [-4.2842, 3.4674, 3.1968]], "species": ["Rh", "Rh", "W", "Y"], "frac_coords": [[0.0000, 0.0000, 0.0205], [0.5000, 0.5000, 0.2695], [0.0000, 0.0000, 0.4385], [0.5000, 0.5000, 0.7715]]}

Stability, highest: entry w

Entry w
{"formula": "ZrRhW2", "functional": "GGA-PBEsol", "state": "relaxed", "crystal_system": "tetragonal", "sg": "P4mm", "dos_ef_per_ev_cell": 2.83, "cell": [[-0.5186, -2.6229, -0.7275], [2.7106, -0.4303, -0.3810], [0.7614, -2.4068, 8.1344]], "species": ["Rh", "W", "W", "Zr"], "frac_coords": [[0.5000, 0.5000, 0.7680], [0.0000, 0.0000, 0.9775], [0.5000, 0.5000, 0.2361], [0.0000, 0.0000, 0.5184]]}

Entry x
{"formula": "ZrRhW2", "functional": "GGA-PBEsol", "state": "relaxed", "crystal_system": "monoclinic", "sg": "Cm", "dos_ef_per_ev_cell": 2.51, "cell": [[-0.7728, 1.0765, -2.4351], [-1.9453, -4.5151, 0.1995], [-3.7323, 2.5853, 2.3274]], "species": ["Rh", "W", "W", "Zr"], "frac_coords": [[0.2658, 0.5315, 0.7210], [0.9792, 0.9583, 0.0258], [0.7375, 0.4749, 0.2147], [0.5176, 0.0352, 0.5386]]}

Stability, highest: entry w

Entry w
{"formula": "Y5Rh3", "functional": "GGA-PBEsol", "state": "relaxed", "crystal_system": "tetragonal", "sg": "I4/mcm", "dos_ef_per_ev_cell": 12.39, "cell": [[-1.4683, -1.4303, 5.6418], [-7.3023, -3.8579, 0.3148], [2.8168, -7.5015, 2.0246]], "species": ["Rh", "Rh", "Rh", "Rh", "Rh", "Rh", "Y", "Y", "Y", "Y", "Y", "Y", "Y", "Y", "Y", "Y"], "frac_coords": [[0.6573, 0.1853, 0.5000], [0.2500, 0.0000, 0.0000], [0.1573, 0.5000, 0.1853], [0.8427, 0.5000, 0.8147], [0.7500, 0.0000, 0.0000], [0.3427, 0.8147, 0.5000], [0.2097, 0.7077, 0.8729], [0.9174, 0.8729, 0.2923], [0.7500, 0.5000, 0.5000], [0.4174, 0.2923, 0.8729], [0.7097, 0.8729, 0.7077], [0.2903, 0.1271, 0.2923], [0.5826, 0.7077, 0.1271], [0.2500, 0.5000, 0.5000], [0.0826, 0.1271, 0.7077], [0.7903, 0.2923, 0.1271]]}

Entry x
{"formula": "Y5Rh3", "functional": "GGA-PBEsol", "state": "relaxed", "crystal_system": "tetragonal", "sg": "P4/ncc", "dos_ef_per_ev_cell": 20.38, "cell": [[-4.6991, 3.6751, -1.8566], [-7.1016, -7.1919, 3.7377], [0.0614, 4.9216, 9.5865]], "species": ["Rh", "Rh", "Rh", "Rh", "Rh", "Rh", "Rh", "Rh", "Rh", "Rh", "Rh", "Rh", "Y", "Y", "Y", "Y", "Y", "Y", "Y", "Y", "Y", "Y", "Y", "Y", "Y", "Y", "Y", "Y", "Y", "Y", "Y", "Y"], "frac_coords": [[0.3728, 0.5000, 0.0000], [0.1272, 0.0000, 0.5000], [0.6272, 0.0000, 0.5000], [0.8728, 0.5000, 0.0000], [0.2500, 0.6543, 0.3457], [0.2500, 0.3457, 0.6543], [0.2500, 0.1543, 0.1543], [0.2500, 0.8457, 0.8457], [0.7500, 0.8457, 0.1543], [0.7500, 0.1543, 0.8457], [0.7500, 0.3457, 0.3457], [0.7500, 0.6543, 0.6543], [0.0000, 0.0000, 0.0000], [0.0000, 0.5000, 0.5000], [0.5000, 0.5000, 0.5000], [0.5000, 0.0000, 0.0000], [0.1210, 0.2909, 0.9113], [0.1210, 0.7091, 0.0887], [0.1210, 0.5887, 0.7909], [0.1210, 0.4113, 0.2091], [0.3790, 0.2091, 0.4113], [0.3790, 0.7909, 0.5887], [0.3790, 0.9113, 0.2909], [0.3790, 0.0887, 0.7091], [0.8790, 0.2091, 0.5887], [0.8790, 0.7909, 0.4113], [0.8790, 0.9113, 0.7091], [0.8790, 0.0887, 0.2909], [0.6210, 0.2909, 0.0887], [0.6210, 0.7091, 0.9113], [0.6210, 0.5887, 0.2091], [0.6210, 0.4113, 0.7909]]}

Entry y
{"formula": "Y5Rh3", "functional": "GGA-PBEsol", "state": "relaxed", "crystal_system": "hexagonal", "sg": "P6_3/mcm", "dos_ef_per_ev_cell": 13.37, "cell": [[-4.1988, -0.5710, 4.5340], [0.1718, -8.1030, -0.8614], [5.1096, 3.6555, 5.1923]], "species": ["Rh", "Rh", "Rh", "Rh", "Rh", "Rh", "Y", "Y", "Y", "Y", "Y", "Y", "Y", "Y", "Y", "Y"], "frac_coords": [[0.2500, 0.3985, 0.3985], [0.7500, 0.6015, 0.6015], [0.2500, 0.6015, 0.0000], [0.7500, 0.0000, 0.3985], [0.7500, 0.3985, 0.0000], [0.2500, 0.0000, 0.6015], [0.7500, 0.2492, 0.2492], [0.2500, 0.7508, 0.7508], [0.7500, 0.7508, 0.0000], [0.2500, 0.0000, 0.2492], [0.0000, 0.3333, 0.6667], [0.5000, 0.3333, 0.6667], [0.0000, 0.6667, 0.3333], [0.5000, 0.6667, 0.3333], [0.2500, 0.2492, 0.0000], [0.7500, 0.0000, 0.7508]]}

Stability, highest: entry x

Entry w
{"formula": "YZr2Rh", "functional": "GGA-PBEsol", "state": "relaxed", "crystal_system": "tetragonal", "sg": "I4/mmm", "dos_ef_per_ev_cell": 2.97, "cell": [[3.9855, 0.0000, 0.0000], [0.0000, 3.9855, 0.0000], [-1.9927, -1.9927, 5.1996]], "species": ["Rh", "Y", "Zr", "Zr"], "frac_coords": [[0.5000, 0.5000, 0.0000], [0.0000, 0.0000, 0.0000], [0.7500, 0.2500, 0.5000], [0.2500, 0.7500, 0.5000]]}

Entry x
{"formula": "YZr2Rh", "functional": "GGA-PBEsol", "state": "relaxed", "crystal_system": "tetragonal", "sg": "P4mm", "dos_ef_per_ev_cell": 5.50, "cell": [[3.3259, 0.0000, 0.0000], [0.0000, 3.3259, 0.0000], [0.0000, 0.0000, 7.6559]], "species": ["Y", "Rh", "Zr", "Zr"], "frac_coords": [[0.5000, 0.5000, 0.7148], [0.0000, 0.0000, 0.4755], [0.0000, 0.0000, 0.0229], [0.5000, 0.5000, 0.2868]]}

Stability, highest: entry x